Computed, not measured: an optimized crystal structure of YCdCl2 at the PBEsol level of DFT.

Lattice parameters (Å, degrees): 6.0259 6.0259 6.1720 117.57 117.57 34.82
Element x y z (fractional)
Y 0.0000 0.0000 0.0000
Cd 0.2687 0.2687 0.5348
Cl 0.4459 0.4459 0.2449
Cl 0.6369 0.6369 0.9089

Results
Formation energy (no corrections) (meV per atom): -1237
Energy relative to the lowest polymorph listed for this composition (eV/f.u.): 0.00
V (Å³/cell): 111.9
N(E_F) (states/eV per atom): 0.60
Total magnetization (μB/f.u.): 0.0


Computed, not measured: an optimized crystal structure of KHfCuS3 at the PBEsol level of DFT.

Lattice parameters (Å, degrees): 7.2239 7.2239 9.6184 90.00 90.00 150.54
Element x y z (fractional)
K 0.2456 0.7544 0.7500
K 0.7544 0.2456 0.2500
Hf 0.5000 0.5000 0.0000
Hf 0.5000 0.5000 0.5000
Cu 0.0349 0.9651 0.2500
Cu 0.9651 0.0349 0.7500
S 0.1217 0.8783 0.0516
S 0.1217 0.8783 0.4484
S 0.4360 0.5640 0.2500
S 0.5640 0.4360 0.7500
S 0.8783 0.1217 0.5516
S 0.8783 0.1217 0.9484

Results
Formation energy (no corrections) (meV per atom): -1318
V (Å³/cell): 246.8
Total magnetization (μB/f.u.): 0.0


Computed, not measured: an optimized crystal structure of LiFe2P at the PBEsol level of DFT.

Lattice parameters (Å, degrees): 5.0910 5.0910 5.0910 102.87 102.87 123.67
Element x y z (fractional)
Li 0.0000 0.0000 0.0000
Li 0.7500 0.2500 0.5000
Fe 0.1696 0.6250 0.0446
Fe 0.3750 0.4196 0.5446
Fe 0.5804 0.1250 0.9554
Fe 0.8750 0.8304 0.4554
P 0.2500 0.7500 0.5000
P 0.5000 0.5000 0.0000

Results
V (Å³/cell): 96.8
N(E_F) (states/eV per atom): 0.84
Formation energy from the elements (eV/atom): 0.126
Total magnetization (μB/f.u.): 3.4


Computed, not measured: an optimized crystal structure of MgZn2Pb at the PBEsol level of DFT.

Lattice parameters (Å, degrees): 5.2667 5.2667 5.2667 132.96 130.16 70.95
Element x y z (fractional)
Mg 0.0000 0.0000 0.0000
Zn 0.2479 0.7479 0.5000
Zn 0.7521 0.2521 0.5000
Pb 0.5000 0.5000 0.0000

Results
Energy relative to the lowest polymorph listed for this composition (eV/f.u.): 0.02
V (Å³/cell): 80.0
N(E_F) (states/eV per atom): 0.36
Formation energy from the elements (eV/atom): 0.098
Total magnetization (μB/f.u.): 0.0


Among the records above, which one has the highest total magnetization?
LiFe2P